Record 1
A relaxed structure of Co2SnHRh, computed with PBE.

Cell lengths 3.8291, 3.8291, 3.8581 Å; angles 90.00, 90.00, 90.00 degrees
With the nearest neighbours (Å) after each atom.
Positions (direct):
Co: 0.5000 0.0000 0.0000  2 H 1.91
Co: 0.0000 0.5000 0.0000  2 H 1.91
Sn: 0.5000 0.5000 0.5000  4 Rh 2.71, 8 Co 2.72
Rh: 0.0000 0.0000 0.5000  2 H 1.93
H: 0.0000 0.0000 0.0000  4 Co 1.91, 2 Rh 1.93



Record 2
A relaxed structure of TaCo2HRh, computed with PBE.

- energy above the most stable polymorph in this dataset (meV per atom) = 995.6

Cell lengths 4.6356, 3.0860, 4.6356 Å; angles 90.00, 90.00, 90.00 degrees
With the nearest neighbours (Å) after each atom.
Positions (direct):
Co: 0.5000 0.0000 0.0000  2 Rh 2.32
Co: 0.0000 0.0000 0.5000  2 Rh 2.32
H: 0.0000 0.5000 0.0000  2 Rh 1.54
Ta: 0.5000 0.5000 0.5000  8 Co 2.78, 2 Ta 3.09
Rh: 0.0000 0.0000 0.0000  2 H 1.54



Record 3
A relaxed structure of TaCo2HRh, computed with PBE.

- energy above the most stable polymorph in this dataset (meV per atom) = 57.4

Cell lengths 3.7118, 3.7118, 3.9553 Å; angles 90.00, 90.00, 90.00 degrees
With the nearest neighbours (Å) after each atom.
Positions (direct):
Rh: 0.5000 0.5000 0.5000  4 Ta 2.62, 8 Co 2.71
Ta: 0.0000 0.0000 0.5000  2 H 1.98
H: 0.0000 0.0000 0.0000  4 Co 1.86, 2 Ta 1.98
Co: 0.0000 0.5000 0.0000  2 H 1.86
Co: 0.5000 0.0000 0.0000  2 H 1.86



Record 4
A relaxed structure of TaCo2HRh, computed with PBE.

- energy above the most stable polymorph in this dataset (meV per atom) = 0.0

Cell lengths 3.7782, 3.7782, 3.7870 Å; angles 90.00, 90.00, 90.00 degrees
With the nearest neighbours (Å) after each atom.
Positions (direct):
Ta: 0.5000 0.5000 0.5000  4 Rh 2.67, 8 Co 2.67
H: 0.0000 0.0000 0.0000  4 Co 1.89, 2 Rh 1.89
Rh: 0.0000 0.0000 0.5000  2 H 1.89
Co: 0.5000 0.0000 0.0000  2 H 1.89
Co: 0.0000 0.5000 0.0000  2 H 1.89



Record 5
A relaxed structure of CoTc2HRh, computed with PBE.

- energy above the most stable polymorph in this dataset (meV per atom) = 41.0

Cell lengths 3.8030, 3.8030, 3.8964 Å; angles 90.00, 90.00, 90.00 degrees
With the nearest neighbours (Å) after each atom.
Positions (direct):
Tc: 0.5000 0.0000 0.0000  2 H 1.90
Tc: 0.0000 0.5000 0.0000  2 H 1.90
H: 0.0000 0.0000 0.0000  4 Tc 1.90, 2 Rh 1.95
Co: 0.5000 0.5000 0.5000  4 Rh 2.69, 8 Tc 2.72
Rh: 0.0000 0.0000 0.5000  2 H 1.95



Record 6
A relaxed structure of Co2TcHRh, computed with PBE.

- energy above the most stable polymorph in this dataset (meV per atom) = 15.6

Cell lengths 3.7515, 3.7515, 3.7138 Å; angles 90.00, 90.00, 90.00 degrees
With the nearest neighbours (Å) after each atom.
Positions (direct):
Co: 0.5000 0.0000 0.0000  2 H 1.88
Co: 0.0000 0.5000 0.0000  2 H 1.88
H: 0.0000 0.0000 0.0000  2 Rh 1.86, 4 Co 1.88
Tc: 0.5000 0.5000 0.5000  8 Co 2.64, 4 Rh 2.65
Rh: 0.0000 0.0000 0.5000  2 H 1.86



Record 7
A relaxed structure of Co2TcHRh, computed with PBE.

- energy above the most stable polymorph in this dataset (meV per atom) = 0.0

Cell lengths 3.7248, 3.7248, 3.7648 Å; angles 90.00, 90.00, 90.00 degrees
With the nearest neighbours (Å) after each atom.
Positions (direct):
Rh: 0.5000 0.5000 0.5000  4 Tc 2.63, 8 Co 2.65
Co: 0.5000 0.0000 0.0000  2 H 1.86
Co: 0.0000 0.5000 0.0000  2 H 1.86
Tc: 0.0000 0.0000 0.5000  2 H 1.88
H: 0.0000 0.0000 0.0000  4 Co 1.86, 2 Tc 1.88



Record 8
A relaxed structure of CoTc2HRh, computed with PBE.

- energy above the most stable polymorph in this dataset (meV per atom) = 0.0

Cell lengths 3.8174, 3.8174, 3.8343 Å; angles 90.00, 90.00, 90.00 degrees
With the nearest neighbours (Å) after each atom.
Positions (direct):
Tc: 0.0000 0.5000 0.0000  2 H 1.91
Tc: 0.5000 0.0000 0.0000  2 H 1.91
Co: 0.0000 0.0000 0.5000  2 H 1.92
H: 0.0000 0.0000 0.0000  4 Tc 1.91, 2 Co 1.92
Rh: 0.5000 0.5000 0.5000  4 Co 2.70, 8 Tc 2.71



Record 9
A relaxed structure of CoTeHRh2, computed with PBE.

Cell lengths 3.9638, 3.9638, 3.9859 Å; angles 90.00, 90.00, 90.00 degrees
With the nearest neighbours (Å) after each atom.
Positions (direct):
Co: 0.0000 0.0000 0.5000  2 H 1.99
Te: 0.5000 0.5000 0.5000  4 Co 2.80, 8 Rh 2.81
Rh: 0.0000 0.5000 0.0000  2 H 1.98
Rh: 0.5000 0.0000 0.0000  2 H 1.98
H: 0.0000 0.0000 0.0000  4 Rh 1.98, 2 Co 1.99



Record 10
A relaxed structure of ThCo2H8Rh, computed with PBE.

Cell lengths 4.5825, 4.5825, 5.8213 Å; angles 66.82, 66.82, 60.00 degrees
With the nearest neighbours (Å) after each atom.
Positions (direct):
H: 0.3287 0.9134 0.1324  1 Co 1.64, 1 Rh 1.76
H: 0.6713 0.0866 0.8676  1 Co 1.64, 1 Rh 1.76
H: 0.8094 0.8094 0.5717  1 Co 1.61
H: 0.3745 0.6713 0.8676  1 Co 1.64, 1 Rh 1.76
H: 0.6255 0.3287 0.1324  1 Co 1.64, 1 Rh 1.76
H: 0.0866 0.3745 0.8676  1 Co 1.64, 1 Rh 1.76
H: 0.1906 0.1906 0.4283  1 Co 1.61
H: 0.9134 0.6255 0.1324  1 Co 1.64, 1 Rh 1.76
Rh: 0.0000 0.0000 0.0000  6 H 1.76
Co: 0.2943 0.2943 0.1172  4 H 1.61-1.64
Co: 0.7057 0.7057 0.8828  4 H 1.61-1.64
Th: 0.5000 0.5000 0.5000  6 H 2.33



Record 11
A relaxed structure of TiCo2HRh, computed with PBE.

- energy above the most stable polymorph in this dataset (meV per atom) = 6.2

Cell lengths 3.6406, 3.6406, 3.8902 Å; angles 90.00, 90.00, 90.00 degrees
With the nearest neighbours (Å) after each atom.
Positions (direct):
Co: 0.5000 0.0000 0.0000  2 H 1.82
Co: 0.0000 0.5000 0.0000  2 H 1.82
Ti: 0.0000 0.0000 0.5000  2 H 1.95
Rh: 0.5000 0.5000 0.5000  4 Ti 2.57, 8 Co 2.66
H: 0.0000 0.0000 0.0000  4 Co 1.82, 2 Ti 1.95



Record 12
A relaxed structure of TiCo2HRh, computed with PBE.

- energy above the most stable polymorph in this dataset (meV per atom) = 0.0

Cell lengths 3.6937, 3.6937, 3.7939 Å; angles 90.00, 90.00, 90.00 degrees
With the nearest neighbours (Å) after each atom.
Positions (direct):
Co: 0.0000 0.5000 0.0000  2 H 1.85
Co: 0.5000 0.0000 0.0000  2 H 1.85
Ti: 0.5000 0.5000 0.5000  4 Rh 2.61, 8 Co 2.65
H: 0.0000 0.0000 0.0000  4 Co 1.85, 2 Rh 1.90
Rh: 0.0000 0.0000 0.5000  2 H 1.90



no.,raw total energy (eV for the cell shown),magnetization (μB per formula unit)
1,-29.4,0.00
2,-33.3,3.41
3,-38.0,0.85
4,-38.2,0.82
5,-38.0,0.00
6,-34.7,2.68
7,-34.8,2.32
8,-38.2,0.00
9,-28.2,1.77
10,-58.1,0.00
11,-34.6,0.00
12,-34.6,0.00